First-principles (PBE-GGA) data for a relaxed structure of Li5ZnO4, as listed in OQMD via LeMat-Bulk.

Final energy in eV for the cell shown: -46.36

```
data_Li5ZnO4
_cell_length_a 4.9817
_cell_length_b 3.1685
_cell_length_c 5.3439
_cell_angle_alpha 90.00
_cell_angle_beta 91.76
_cell_angle_gamma 90.00
_symmetry_space_group_name_H-M 'P 1 2/m 1'
_symmetry_Int_Tables_number 10
loop_
_symmetry_equiv_pos_as_xyz
'x,y,z'
'-x,-y,-z'
'-x,y,-z'
'x,-y,z'
loop_
_atom_site_label
_atom_site_type_symbol
_atom_site_fract_x
_atom_site_fract_y
_atom_site_fract_z
Li1 Li 0.0000 0.0000 0.0000
Li2 Li 0.3409 0.5000 0.1603
Li3 Li 0.3670 0.0000 0.6732
Zn1 Zn 0.0000 0.5000 0.5000
O1 O 0.2337 0.0000 0.3336
O2 O 0.2467 0.5000 0.8194
```

First-principles (PBE-GGA) data for a relaxed structure of NdYSn2Pd4, as listed in OQMD via LeMat-Bulk.

Final energy in eV for the cell shown: -46.86

```
data_NdYSn2Pd4
_cell_length_a 4.6103
_cell_length_b 4.6103
_cell_length_c 9.1008
_cell_angle_alpha 90.00
_cell_angle_beta 90.00
_cell_angle_gamma 120.00
_symmetry_space_group_name_H-M 'P -6 m 2'
_symmetry_Int_Tables_number 187
_symmetry_space_group_name_Hall 'P -6 2'
loop_
_atom_site_label
_atom_site_type_symbol
_atom_site_fract_x
_atom_site_fract_y
_atom_site_fract_z
Nd1 Nd 0.0000 0.0000 0.0000
Y1 Y 0.6667 0.3333 0.5000
Sn1 Sn 0.3333 0.6667 0.2562
Pd1 Pd 0.0000 0.0000 0.3388
Pd2 Pd 0.6667 0.3333 0.1706
```

First-principles (PBE-GGA) data for a relaxed structure of Gd3Mg3InGa2, as listed in OQMD via LeMat-Bulk.

Final energy in eV for the cell shown: -31.64

```
data_Gd3Mg3InGa2
_cell_length_a 7.3683
_cell_length_b 7.3683
_cell_length_c 4.5727
_cell_angle_alpha 90.00
_cell_angle_beta 90.00
_cell_angle_gamma 120.00
_symmetry_space_group_name_H-M 'P -6 2 m'
_symmetry_Int_Tables_number 189
_symmetry_space_group_name_Hall 'P -6 -2'
loop_
_atom_site_label
_atom_site_type_symbol
_atom_site_fract_x
_atom_site_fract_y
_atom_site_fract_z
Gd1 Gd 0.0000 0.4363 0.0000
Mg1 Mg 0.0000 0.7507 0.5000
In1 In 0.0000 0.0000 0.0000
Ga1 Ga 0.3333 0.6667 0.5000
```

First-principles (PBE-GGA) data for a relaxed structure of Tb2Te2O5, as listed in OQMD via LeMat-Bulk.

Final energy in eV for the cell shown: -51.77

```
data_Tb2Te2O5
_cell_length_a 4.1756
_cell_length_b 4.1756
_cell_length_c 7.3156
_cell_angle_alpha 90.00
_cell_angle_beta 90.00
_cell_angle_gamma 90.00
_symmetry_space_group_name_H-M 'P 4/m m m'
_symmetry_Int_Tables_number 123
_symmetry_space_group_name_Hall '-P 4 2'
loop_
_atom_site_label
_atom_site_type_symbol
_atom_site_fract_x
_atom_site_fract_y
_atom_site_fract_z
Tb1 Tb 0.0000 0.0000 0.0000
Tb2 Tb 0.0000 0.0000 0.5000
Te1 Te 0.5000 0.5000 0.2035
O1 O 0.0000 0.5000 0.2849
O2 O 0.5000 0.5000 0.5000
```

First-principles (PBE-GGA) data for a relaxed structure of PmHfNi, as listed in OQMD via LeMat-Bulk.

Energy of formation in eV per atom: 0.13

```
data_PmHfNi
_cell_length_a 6.5188
_cell_length_b 6.5188
_cell_length_c 6.5188
_cell_angle_alpha 90.00
_cell_angle_beta 90.00
_cell_angle_gamma 90.00
_symmetry_space_group_name_H-M 'F -4 3 m'
_symmetry_Int_Tables_number 216
_symmetry_space_group_name_Hall 'F -4 2 3'
loop_
_atom_site_label
_atom_site_type_symbol
_atom_site_fract_x
_atom_site_fract_y
_atom_site_fract_z
Pm1 Pm 0.0000 0.0000 0.0000
Hf1 Hf 0.0000 0.0000 0.5000
Ni1 Ni 0.2500 0.2500 0.7500
```

First-principles (PBE-GGA) data for a relaxed structure of BaNbAl, as listed in OQMD via LeMat-Bulk.

Final energy in eV for the cell shown: -51.24

```
data_BaNbAl
_cell_length_a 7.0513
_cell_length_b 7.0513
_cell_length_c 7.0513
_cell_angle_alpha 90.00
_cell_angle_beta 90.00
_cell_angle_gamma 90.00
_symmetry_space_group_name_H-M 'F -4 3 m'
_symmetry_Int_Tables_number 216
_symmetry_space_group_name_Hall 'F -4 2 3'
loop_
_atom_site_label
_atom_site_type_symbol
_atom_site_fract_x
_atom_site_fract_y
_atom_site_fract_z
Ba1 Ba 0.0000 0.0000 0.0000
Nb1 Nb 0.2500 0.2500 0.2500
Al1 Al 0.0000 0.0000 0.5000
```

First-principles (PBE-GGA) data for a relaxed structure of ErLuPt2, as listed in OQMD via LeMat-Bulk.

Energy of formation in eV per atom: -1.33

```
data_ErLuPt2
_cell_length_a 4.4469
_cell_length_b 5.5173
_cell_length_c 6.9013
_cell_angle_alpha 90.00
_cell_angle_beta 90.00
_cell_angle_gamma 90.00
_symmetry_space_group_name_H-M 'P m c 21'
_symmetry_Int_Tables_number 26
loop_
_symmetry_equiv_pos_as_xyz
'x,y,z'
'-x,-y,z+1/2'
'-x,y,z'
'x,-y,z+1/2'
loop_
_atom_site_label
_atom_site_type_symbol
_atom_site_fract_x
_atom_site_fract_y
_atom_site_fract_z
Er1 Er 0.0000 0.1097 0.0000
Lu1 Lu 0.5000 0.3906 0.6371
Pt1 Pt 0.0000 0.4073 0.3640
Pt2 Pt 0.5000 0.0943 0.2740
```

First-principles (PBE-GGA) data for a relaxed structure of ErOsNO, as listed in OQMD via LeMat-Bulk.

Final energy in eV for the cell shown: -139.64

```
data_ErOsNO
_cell_length_a 5.5365
_cell_length_b 8.3184
_cell_length_c 4.6934
_cell_angle_alpha 90.00
_cell_angle_beta 90.00
_cell_angle_gamma 90.00
_symmetry_space_group_name_H-M 'P c a 21'
_symmetry_Int_Tables_number 29
loop_
_symmetry_equiv_pos_as_xyz
'x,y,z'
'-x,-y,z+1/2'
'-x+1/2,y,z+1/2'
'x+1/2,-y,z'
loop_
_atom_site_label
_atom_site_type_symbol
_atom_site_fract_x
_atom_site_fract_y
_atom_site_fract_z
Er1 Er 0.0259 0.1562 0.0000
Os1 Os 0.1072 0.5130 0.1623
N1 N 0.1300 0.6546 0.8202
O1 O 0.1020 0.0870 0.5392
```

First-principles (PBE-GGA) data for a relaxed structure of DyGePbSe3, as listed in OQMD via LeMat-Bulk.

Final energy in eV for the cell shown: -111.50

```
data_DyGePbSe3
_cell_length_a 4.2009
_cell_length_b 13.9403
_cell_length_c 10.8576
_cell_angle_alpha 90.00
_cell_angle_beta 90.00
_cell_angle_gamma 90.00
_symmetry_space_group_name_H-M 'C m c m'
_symmetry_Int_Tables_number 63
_symmetry_space_group_name_Hall '-C 2c 2'
loop_
_atom_site_label
_atom_site_type_symbol
_atom_site_fract_x
_atom_site_fract_y
_atom_site_fract_z
Dy1 Dy 0.0000 0.0000 0.0000
Ge1 Ge 0.0000 0.4471 0.2500
Pb1 Pb 0.0000 0.2527 0.7500
Se1 Se 0.0000 0.0891 0.2500
Se2 Se 0.0000 0.3581 0.0308
```

First-principles (PBE-GGA) data for a relaxed structure of SmScCo, as listed in OQMD via LeMat-Bulk.

Energy of formation in eV per atom: 0.64

```
data_SmScCo
_cell_length_a 6.3836
_cell_length_b 6.3836
_cell_length_c 6.3836
_cell_angle_alpha 90.00
_cell_angle_beta 90.00
_cell_angle_gamma 90.00
_symmetry_space_group_name_H-M 'F -4 3 m'
_symmetry_Int_Tables_number 216
_symmetry_space_group_name_Hall 'F -4 2 3'
loop_
_atom_site_label
_atom_site_type_symbol
_atom_site_fract_x
_atom_site_fract_y
_atom_site_fract_z
Sm1 Sm 0.0000 0.0000 0.0000
Sc1 Sc 0.2500 0.2500 0.7500
Co1 Co 0.0000 0.0000 0.5000
```

First-principles (PBE-GGA) data for a relaxed structure of UOsPt, as listed in OQMD via LeMat-Bulk.

Energy of formation in eV per atom: 0.23

```
data_UOsPt
_cell_length_a 6.3745
_cell_length_b 6.3745
_cell_length_c 6.3745
_cell_angle_alpha 90.00
_cell_angle_beta 90.00
_cell_angle_gamma 90.00
_symmetry_space_group_name_H-M 'F -4 3 m'
_symmetry_Int_Tables_number 216
_symmetry_space_group_name_Hall 'F -4 2 3'
loop_
_atom_site_label
_atom_site_type_symbol
_atom_site_fract_x
_atom_site_fract_y
_atom_site_fract_z
U1 U 0.0000 0.0000 0.0000
Os1 Os 0.2500 0.2500 0.7500
Pt1 Pt 0.2500 0.2500 0.2500
```

First-principles (PBE-GGA) data for a relaxed structure of DyCdInTe3, as listed in OQMD via LeMat-Bulk.

Final energy in eV for the cell shown: -88.72

```
data_DyCdInTe3
_cell_length_a 15.2119
_cell_length_b 4.4608
_cell_length_c 11.9026
_cell_angle_alpha 90.00
_cell_angle_beta 90.00
_cell_angle_gamma 90.00
_symmetry_space_group_name_H-M 'P n m a'
_symmetry_Int_Tables_number 62
loop_
_symmetry_equiv_pos_as_xyz
'x,y,z'
'-x,-y,-z'
'-x+1/2,-y,z+1/2'
'x+1/2,y,-z+1/2'
'x+1/2,-y+1/2,-z+1/2'
'-x+1/2,y+1/2,z+1/2'
'-x,y+1/2,-z'
'x,-y+1/2,z'
loop_
_atom_site_label
_atom_site_type_symbol
_atom_site_fract_x
_atom_site_fract_y
_atom_site_fract_z
Dy1 Dy 0.0262 0.2500 0.1559
Cd1 Cd 0.0210 0.7500 0.3981
In1 In 0.2404 0.2500 0.4529
Te1 Te 0.0981 0.7500 0.6248
Te2 Te 0.1027 0.2500 0.9208
Te3 Te 0.1553 0.7500 0.2330
```

First-principles (PBE-GGA) data for a relaxed structure of ZrIn, as listed in OQMD via LeMat-Bulk.

Final energy in eV for the cell shown: -45.99

```
data_ZrIn
_cell_length_a 6.3264
_cell_length_b 6.3264
_cell_length_c 5.3122
_cell_angle_alpha 90.00
_cell_angle_beta 90.00
_cell_angle_gamma 120.00
_symmetry_space_group_name_H-M 'P -6 m 2'
_symmetry_Int_Tables_number 187
_symmetry_space_group_name_Hall 'P -6 2'
loop_
_atom_site_label
_atom_site_type_symbol
_atom_site_fract_x
_atom_site_fract_y
_atom_site_fract_z
Zr1 Zr 0.0000 0.0000 0.0000
Zr2 Zr 0.1643 0.3286 0.5000
In1 In 0.0098 0.5049 0.0000
In2 In 0.6667 0.3333 0.5000
```

First-principles (PBE-GGA) data for a relaxed structure of ErPbAuSe3, as listed in OQMD via LeMat-Bulk.

Final energy in eV for the cell shown: -110.00

```
data_ErPbAuSe3
_cell_length_a 4.0496
_cell_length_b 13.8810
_cell_length_c 10.5581
_cell_angle_alpha 90.00
_cell_angle_beta 90.00
_cell_angle_gamma 90.00
_symmetry_space_group_name_H-M 'C m c m'
_symmetry_Int_Tables_number 63
_symmetry_space_group_name_Hall '-C 2c 2'
loop_
_atom_site_label
_atom_site_type_symbol
_atom_site_fract_x
_atom_site_fract_y
_atom_site_fract_z
Er1 Er 0.0000 0.0000 0.0000
Pb1 Pb 0.0000 0.2348 0.2500
Au1 Au 0.0000 0.4616 0.7500
Se1 Se 0.0000 0.0893 0.7500
Se2 Se 0.0000 0.3559 0.5465
```

First-principles (PBE-GGA) data for a relaxed structure of TmMgGa, as listed in OQMD via LeMat-Bulk.

Final energy in eV for the cell shown: -41.49

```
data_TmMgGa
_cell_length_a 7.2254
_cell_length_b 4.3447
_cell_length_c 8.4911
_cell_angle_alpha 90.00
_cell_angle_beta 90.00
_cell_angle_gamma 90.00
_symmetry_space_group_name_H-M 'P n m a'
_symmetry_Int_Tables_number 62
loop_
_symmetry_equiv_pos_as_xyz
'x,y,z'
'-x,-y,-z'
'-x+1/2,-y,z+1/2'
'x+1/2,y,-z+1/2'
'x+1/2,-y+1/2,-z+1/2'
'-x+1/2,y+1/2,z+1/2'
'-x,y+1/2,-z'
'x,-y+1/2,z'
loop_
_atom_site_label
_atom_site_type_symbol
_atom_site_fract_x
_atom_site_fract_y
_atom_site_fract_z
Tm1 Tm 0.0269 0.2500 0.1802
Mg1 Mg 0.1474 0.2500 0.5579
Ga1 Ga 0.2485 0.7500 0.3763
```

First-principles (PBE-GGA) data for a relaxed structure of TlAg3WS4, as listed in OQMD via LeMat-Bulk.

Final energy in eV for the cell shown: -41.24

```
data_TlAg3WS4
_cell_length_a 6.2516
_cell_length_b 6.2516
_cell_length_c 6.2516
_cell_angle_alpha 90.00
_cell_angle_beta 90.00
_cell_angle_gamma 90.00
_symmetry_space_group_name_H-M 'P -4 3 m'
_symmetry_Int_Tables_number 215
_symmetry_space_group_name_Hall 'P -4 2 3'
loop_
_atom_site_label
_atom_site_type_symbol
_atom_site_fract_x
_atom_site_fract_y
_atom_site_fract_z
Tl1 Tl 0.0000 0.0000 0.0000
Ag1 Ag 0.0000 0.5000 0.5000
W1 W 0.5000 0.5000 0.5000
S1 S 0.2844 0.2844 0.2844
```

First-principles (PBE-GGA) data for a relaxed structure of ZrGeOs, as listed in OQMD via LeMat-Bulk.

Final energy in eV for the cell shown: -78.75

```
data_ZrGeOs
_cell_length_a 6.7510
_cell_length_b 6.7510
_cell_length_c 3.8519
_cell_angle_alpha 90.00
_cell_angle_beta 90.00
_cell_angle_gamma 120.00
_symmetry_space_group_name_H-M 'P -6 2 m'
_symmetry_Int_Tables_number 189
_symmetry_space_group_name_Hall 'P -6 -2'
loop_
_atom_site_label
_atom_site_type_symbol
_atom_site_fract_x
_atom_site_fract_y
_atom_site_fract_z
Zr1 Zr 0.0000 0.5820 0.0000
Ge1 Ge 0.0000 0.0000 0.0000
Ge2 Ge 0.3333 0.6667 0.5000
Os1 Os 0.0000 0.2443 0.5000
```

First-principles (PBE-GGA) data for a relaxed structure of Zr2Nb4Cd3C3, as listed in OQMD via LeMat-Bulk.

Final energy in eV for the cell shown: -371.15

```
data_Zr2Nb4Cd3C3
_cell_length_a 9.7463
_cell_length_b 5.6234
_cell_length_c 15.0014
_cell_angle_alpha 90.00
_cell_angle_beta 102.68
_cell_angle_gamma 90.00
_symmetry_space_group_name_H-M 'C 1 2/c 1'
_symmetry_Int_Tables_number 15
loop_
_symmetry_equiv_pos_as_xyz
'x,y,z'
'-x,-y,-z'
'-x,y,-z+1/2'
'x,-y,z+1/2'
'x+1/2,y+1/2,z'
'-x+1/2,-y+1/2,-z'
'-x+1/2,y+1/2,-z+1/2'
'x+1/2,-y+1/2,z+1/2'
loop_
_atom_site_label
_atom_site_type_symbol
_atom_site_fract_x
_atom_site_fract_y
_atom_site_fract_z
Zr1 Zr 0.0484 0.0803 0.4057
Nb1 Nb 0.1096 0.4101 0.5771
Nb2 Nb 0.2271 0.4203 0.9229
Cd1 Cd 0.0000 0.4914 0.2500
Cd2 Cd 0.2048 0.1215 0.7514
C1 C 0.0840 0.2521 0.0000
C2 C 0.2500 0.2500 0.5000
```

First-principles (PBE-GGA) data for a relaxed structure of Zr4Ta2Co3C3, as listed in OQMD via LeMat-Bulk.

Final energy in eV for the cell shown: -444.98

```
data_Zr4Ta2Co3C3
_cell_length_a 9.6904
_cell_length_b 5.5780
_cell_length_c 13.4002
_cell_angle_alpha 90.00
_cell_angle_beta 104.05
_cell_angle_gamma 90.00
_symmetry_space_group_name_H-M 'C 1 2/c 1'
_symmetry_Int_Tables_number 15
loop_
_symmetry_equiv_pos_as_xyz
'x,y,z'
'-x,-y,-z'
'-x,y,-z+1/2'
'x,-y,z+1/2'
'x+1/2,y+1/2,z'
'-x+1/2,-y+1/2,-z'
'-x+1/2,y+1/2,-z+1/2'
'x+1/2,-y+1/2,z+1/2'
loop_
_atom_site_label
_atom_site_type_symbol
_atom_site_fract_x
_atom_site_fract_y
_atom_site_fract_z
Zr1 Zr 0.1197 0.0798 0.1087
Zr2 Zr 0.2120 0.0861 0.3914
Ta1 Ta 0.0555 0.4133 0.9094
Co1 Co 0.0000 0.1251 0.7500
Co2 Co 0.1323 0.4396 0.2504
C1 C 0.0809 0.2569 0.5002
C2 C 0.2500 0.2500 0.0000
```

First-principles (PBE-GGA) data for a relaxed structure of AlPOsO, as listed in OQMD via LeMat-Bulk.

Final energy in eV for the cell shown: -48.08

```
data_AlPOsO
_cell_length_a 3.5862
_cell_length_b 3.5862
_cell_length_c 7.7274
_cell_angle_alpha 90.00
_cell_angle_beta 90.00
_cell_angle_gamma 90.00
_symmetry_space_group_name_H-M 'P 4/n m m'
_symmetry_Int_Tables_number 129
loop_
_symmetry_equiv_pos_as_xyz
'x,y,z'
'-x,-y,-z'
'-y+1/2,x,z'
'y+1/2,-x,-z'
'-x+1/2,-y+1/2,z'
'x+1/2,y+1/2,-z'
'y,-x+1/2,z'
'-y,x+1/2,-z'
'x+1/2,-y,-z'
'-x+1/2,y,z'
'-y,-x,-z'
'y,x,z'
'-x,y+1/2,-z'
'x,-y+1/2,z'
'y+1/2,x+1/2,-z'
'-y+1/2,-x+1/2,z'
loop_
_atom_site_label
_atom_site_type_symbol
_atom_site_fract_x
_atom_site_fract_y
_atom_site_fract_z
Al1 Al 0.2500 0.7500 0.0000
P1 P 0.2500 0.2500 0.2241
Os1 Os 0.2500 0.2500 0.6683
O1 O 0.2500 0.7500 0.5000
```